[1]
A plane-wave DFT calculation with PBE was carried out for a geometry-optimized MgNpRuRh structure.

Summary:
Total energy   -8.0758 eV per atom
SG   No. 216
ΔH_f (0 K)   -0.285 eV per atom

```
MgNpRuRh
1.0
6.5216 0.0000 0.0000
0.0000 6.5216 0.0000
0.0000 0.0000 6.5216
Mg Np Ru Rh
4 4 4 4
Cartesian
0.0000 0.0000 0.0000
0.0000 3.2608 3.2608
3.2608 0.0000 3.2608
3.2608 3.2608 0.0000
0.0000 0.0000 3.2608
0.0000 3.2608 0.0000
3.2608 0.0000 0.0000
3.2608 3.2608 3.2608
1.6304 1.6304 4.8912
1.6304 4.8912 1.6304
4.8912 1.6304 1.6304
4.8912 4.8912 4.8912
1.6304 1.6304 1.6304
1.6304 4.8912 4.8912
4.8912 1.6304 4.8912
4.8912 4.8912 1.6304
```

[2]
A plane-wave DFT calculation with PBE was carried out for a geometry-optimized MgNpTcRh structure.

Summary:
Total energy   -8.1980 eV per atom
SG   No. 216
ΔH_f (0 K)   -0.135 eV per atom

```
MgNpTcRh
1.0
6.5215 0.0000 0.0000
0.0000 6.5215 0.0000
0.0000 0.0000 6.5215
Mg Np Tc Rh
4 4 4 4
Cartesian
0.0000 0.0000 0.0000
0.0000 3.2607 3.2607
3.2607 0.0000 3.2607
3.2607 3.2607 0.0000
0.0000 0.0000 3.2607
0.0000 3.2607 0.0000
3.2607 0.0000 0.0000
3.2607 3.2607 3.2607
1.6304 1.6304 1.6304
1.6304 4.8911 4.8911
4.8911 1.6304 4.8911
4.8911 4.8911 1.6304
1.6304 1.6304 4.8911
1.6304 4.8911 1.6304
4.8911 1.6304 1.6304
4.8911 4.8911 4.8911
```

Calculated volume in Å³ per cell, matching the order above: 277.37; 277.35